Record 1
GGA-PBE Sm2Dy12Pu, relaxed; space group = P4/nbm, No. 125; size of the total moment = 6.4 μB per formula unit; E_tot = -146.98 eV per cell; DFT formation energy = 367.1 meV per atom
1.0
6.419 0.000 0.000
0.000 6.419 0.000
0.000 0.000 24.809
Dy Sm Pu
24 4 2
direct
0.168 0.668 0.561
0.500 0.500 0.339
0.832 0.668 0.439
0.168 0.332 0.439
0.832 0.332 0.561
0.184 0.316 0.886
0.184 0.684 0.114
0.500 0.500 0.661
0.316 0.184 0.114
0.000 0.000 0.214
0.684 0.816 0.114
0.668 0.832 0.561
0.000 0.000 0.661
0.500 0.500 0.786
0.816 0.684 0.886
0.316 0.816 0.886
0.668 0.168 0.439
0.332 0.168 0.561
0.684 0.184 0.886
0.500 0.500 0.214
0.000 0.000 0.786
0.000 0.000 0.339
0.332 0.832 0.439
0.816 0.316 0.114
0.500 0.000 0.271
0.000 0.500 0.729
0.500 0.000 0.729
0.000 0.500 0.271
0.000 0.500 0.000
0.500 0.000 0.000

=====

Record 2
GGA-PBE Sm2DyPu, relaxed; energy above the most stable polymorph in this dataset = 5 meV/atom; space group = R3m, No. 160; size of the total moment = 6.0 μB per formula unit; E_tot = -27.92 eV per cell; DFT formation energy = 113.1 meV per atom
1.0
3.581 0.000 0.000
1.791 3.101 0.000
1.791 1.034 11.486
Sm Pu Dy
2 1 1
direct
0.082 0.082 0.753
0.251 0.251 0.247
0.667 0.667 0.000
0.500 0.500 0.499

=====

Record 3
GGA-PBE Sm3Dy12Pu, relaxed; space group = P4/mmm, No. 123; size of the total moment = 6.2 μB per formula unit; E_tot = -83.05 eV per cell; DFT formation energy = 41.3 meV per atom
1.0
5.021 0.000 0.000
0.000 5.021 0.000
0.000 0.000 20.050
Sm Dy Pu
3 12 1
direct
0.000 0.000 0.248
0.000 0.000 0.752
0.000 0.000 0.500
0.500 0.000 0.626
0.500 0.000 0.121
0.500 0.500 0.000
0.500 0.500 0.500
0.500 0.000 0.879
0.000 0.500 0.374
0.000 0.500 0.879
0.000 0.500 0.121
0.500 0.000 0.374
0.500 0.500 0.248
0.500 0.500 0.752
0.000 0.500 0.626
0.000 0.000 0.000

=====

Record 4
GGA-PBE Sm5Dy4Pu, relaxed; space group = C2/m, No. 12; size of the total moment = 6.0 μB per formula unit; E_tot = -55.71 eV per cell; DFT formation energy = 63.1 meV per atom
1.0
-1.202 3.300 0.383
-0.565 1.113 -11.360
-6.782 -4.669 2.648
Sm Dy Pu
5 4 1
direct
0.790 0.386 0.580
0.500 0.500 0.000
0.187 0.078 0.374
0.210 0.614 0.420
0.813 0.922 0.626
0.605 0.799 0.210
0.917 0.711 0.834
0.083 0.289 0.166
0.395 0.201 0.790
0.500 0.000 0.000

=====

Record 5
GGA-PBE SmDy2Pu, relaxed; energy above the most stable polymorph in this dataset = 0 meV/atom; space group = P4/mmm, No. 123; size of the total moment = 6.3 μB per formula unit; E_tot = -27.85 eV per cell; DFT formation energy = 100.6 meV per atom
1.0
-2.484 1.162 -2.194
1.074 -2.296 -2.431
-6.400 -6.836 3.627
Dy Pu Sm
2 1 1
direct
0.000 0.000 0.758
0.000 0.000 0.242
0.500 0.500 0.000
0.500 0.500 0.500

=====

Record 6
GGA-PBE Sm3Dy3Pu, relaxed; space group = R-3, No. 148; size of the total moment = 6.3 μB per formula unit; E_tot = -81.71 eV per cell; DFT formation energy = 206.1 meV per atom
1.0
-3.099 -3.042 -4.392
-4.268 -4.181 1.564
-12.376 7.715 -0.953
Sm Pu Dy
6 2 6
direct
0.869 0.537 0.394
0.200 0.869 0.394
0.800 0.131 0.606
0.131 0.463 0.606
0.537 0.200 0.394
0.463 0.800 0.606
0.333 0.333 0.000
0.667 0.667 0.000
0.270 0.604 0.190
0.730 0.396 0.810
0.063 0.730 0.810
0.937 0.270 0.190
0.604 0.937 0.190
0.396 0.063 0.810